The following is a DFT calculation (GGA-PBE) of crystalline Sc3Au at its relaxed geometry.

a b c (Å): 8.048 4.450 10.654
angles (deg): 90.00 166.61 90.00
Sites, in units of the cell vectors:
Sc: 0.500 0.000 0.000
Au: 0.000 0.000 0.000
Sc: 0.707 0.500 0.940
Sc: 0.293 0.500 0.060

calculated density	6.2	g cm⁻³
ΔH_f (0 K)	-1.3	eV/f.u.
crystal system	monoclinic
VASP energy	-23.561	eV per cell
spin magnetization	0.0	μB per formula unit